First-principles (PBE with a Hubbard U) data for crystalline PaCrIrO6 at its relaxed geometry, as listed in Alexandria via LeMat-Bulk.

Structure (POSCAR):
```
PaCrIrO6
1.0
-2.617 0.081 -4.656
3.928 -3.532 0.795
-5.771 -5.709 3.144
Pa Cr Ir O
2 2 2 12
direct
0.333 0.667 0.250
0.667 0.333 0.750
0.667 0.333 0.250
0.333 0.667 0.750
0.000 0.000 0.000
0.000 0.000 0.500
0.687 0.667 0.125
0.980 0.313 0.125
0.313 0.980 0.625
0.020 0.687 0.875
0.333 0.313 0.375
0.980 0.667 0.375
0.667 0.980 0.875
0.687 0.020 0.375
0.020 0.333 0.625
0.333 0.020 0.125
0.667 0.687 0.625
0.313 0.333 0.875
```

Calculated values
- SG: P-31c, No. 163
- Crystal system: trigonal
- Uncorrected energy: -8.164 eV/atom